This record from OQMD via LeMat-Bulk describes a geometry-optimized Li2Pr2In2CuAg structure. The functional is GGA-PBE.

a = 4.9247 Å, b = 4.9247 Å, c = 7.0045 Å
α = 90.00°, β = 90.00°, γ = 90.00°
With the nearest neighbours (Å) after each atom.
Fractional coordinates of all 8 atoms:
In (0.5000, 0.0000, 0.2556)  4 Li 3.00-3.04, 2 Cu 3.00, 2 Ag 3.04
In (0.0000, 0.5000, 0.7444)  4 Li 3.00-3.04, 2 Cu 3.00, 2 Ag 3.04
Li (0.0000, 0.0000, 0.5000)  4 Pr 2.98, 4 In 3.00
Li (0.5000, 0.5000, 0.0000)  4 In 3.04, 4 Pr 3.07
Pr (0.5000, 0.0000, 0.7393)  4 Li 2.98-3.07, 2 Cu 2.98, 2 Ag 3.07
Pr (0.0000, 0.5000, 0.2607)  4 Li 2.98-3.07, 2 Cu 2.98, 2 Ag 3.07
Cu (0.5000, 0.5000, 0.5000)  4 Pr 2.98, 4 In 3.00
Ag (0.0000, 0.0000, 0.0000)  4 In 3.04, 4 Pr 3.07

Values from the calculation:
Calculated total energy   -3.542 eV/atom
Volume   169.9 Å³ per cell
Total magnetic moment   0.01 μB per formula unit